1.
First-principles (PBE-GGA) data for a relaxed K7Cl3O2 crystal, as listed in the Alexandria database.

```
K7Cl3O2
1.0
2.630 -13.073 0.000
2.630 13.073 0.000
0.000 0.000 5.095
K Cl O
7 3 2
Direct
0.000 0.000 0.000 K
0.100 0.900 0.500 K
0.196 0.804 0.000 K
0.402 0.598 0.000 K
0.598 0.402 0.000 K
0.804 0.196 0.000 K
0.900 0.100 0.500 K
0.315 0.685 0.500 Cl
0.500 0.500 0.500 Cl
0.685 0.315 0.500 Cl
0.101 0.899 0.000 O
0.899 0.101 0.000 O
```

Output
SG = Cmmm (65)
Total moment = 0.0 μB per formula unit
Formation energy from raw total energies = -1447 meV per atom
Polymorph energy (0 for the lowest one) = 30 meV per atom

---

2.
First-principles (PBE-GGA) data for a relaxed K2ClO2 crystal, as listed in the Alexandria database.

```
K2ClO2
1.0
-1.688 1.688 8.335
1.688 -1.688 8.335
1.688 1.688 -8.335
K Cl O
2 1 2
Direct
0.123 0.123 0.000 K
0.877 0.877 0.000 K
0.500 0.500 0.000 Cl
0.250 0.750 0.500 O
0.750 0.250 0.500 O
```

Output
SG = I4/mmm (139)
Total moment = 0.0 μB per formula unit
Formation energy from raw total energies = -560 meV per atom
Polymorph energy (0 for the lowest one) = 675 meV per atom

---

3.
First-principles (PBE-GGA) data for a relaxed K7ClO12 crystal, as listed in the Alexandria database.

```
K7ClO12
1.0
6.975 4.027 2.155
-6.975 4.027 2.155
0.000 -8.054 2.155
K Cl O
7 1 12
Direct
0.000 0.000 0.000 K
0.142 0.289 0.572 K
0.289 0.572 0.142 K
0.428 0.858 0.711 K
0.572 0.142 0.289 K
0.711 0.428 0.858 K
0.858 0.711 0.428 K
0.500 0.500 0.500 Cl
0.052 0.597 0.702 O
0.092 0.900 0.300 O
0.100 0.700 0.908 O
0.298 0.948 0.403 O
0.300 0.092 0.900 O
0.403 0.298 0.948 O
0.597 0.702 0.052 O
0.700 0.908 0.100 O
0.702 0.052 0.597 O
0.900 0.300 0.092 O
0.908 0.100 0.700 O
0.948 0.403 0.298 O
```

Output
SG = R-3 (148)
Total moment = 6.0 μB per formula unit
Formation energy from raw total energies = -936 meV per atom

---

4.
First-principles (PBE-GGA) data for a relaxed K5Cl2O2 crystal, as listed in the Alexandria database.

```
K5Cl2O2
1.0
7.257 -2.539 0.000
7.257 2.539 0.000
-4.797 0.000 6.881
K Cl O
5 2 2
Direct
0.000 0.000 0.000 K
0.118 0.118 0.734 K
0.351 0.351 0.614 K
0.649 0.649 0.386 K
0.882 0.882 0.266 K
0.377 0.377 0.036 Cl
0.623 0.623 0.964 Cl
0.114 0.114 0.409 O
0.886 0.886 0.591 O
```

Output
SG = C2/m (12)
Total moment = 1.0 μB per formula unit
Formation energy from raw total energies = -1382 meV per atom

---

5.
First-principles (PBE-GGA) data for a relaxed K2ClO2 crystal, as listed in the Alexandria database.

```
K2ClO2
1.0
8.057 0.000 0.000
0.000 8.057 0.000
0.000 0.000 4.163
K Cl O
4 2 4
Direct
0.163 0.337 0.000 K
0.337 0.837 0.000 K
0.663 0.163 0.000 K
0.837 0.663 0.000 K
0.000 0.000 0.000 Cl
0.500 0.500 0.000 Cl
0.060 0.560 0.500 O
0.440 0.060 0.500 O
0.560 0.940 0.500 O
0.940 0.440 0.500 O
```

Output
SG = P4/mbm (127)
Total moment = 1.0 μB per formula unit
Formation energy from raw total energies = -1188 meV per atom
Polymorph energy (0 for the lowest one) = 48 meV per atom

---

6.
First-principles (PBE-GGA) data for a relaxed K5Cl2O crystal, as listed in the Alexandria database.

```
K5Cl2O
1.0
2.947 -7.297 0.000
2.947 7.297 0.000
0.000 0.000 14.380
K Cl O
10 4 2
Direct
0.055 0.945 0.628 K
0.055 0.945 0.872 K
0.294 0.706 0.250 K
0.302 0.698 0.613 K
0.302 0.698 0.887 K
0.698 0.302 0.113 K
0.698 0.302 0.387 K
0.706 0.294 0.750 K
0.945 0.055 0.128 K
0.945 0.055 0.372 K
0.157 0.843 0.065 Cl
0.157 0.843 0.435 Cl
0.843 0.157 0.565 Cl
0.843 0.157 0.935 Cl
0.185 0.815 0.750 O
0.815 0.185 0.250 O
```

Output
SG = Cmcm (63)
Total moment = 0.4 μB per formula unit
Formation energy from raw total energies = -1319 meV per atom

---

7.
First-principles (PBE-GGA) data for a relaxed K3ClO4 crystal, as listed in the Alexandria database.

```
K3ClO4
1.0
4.176 0.000 0.000
0.001 4.218 0.000
1.916 2.094 9.971
K Cl O
3 1 4
Direct
0.000 0.000 0.000 K
0.340 0.337 0.329 K
0.660 0.663 0.671 K
0.500 0.500 0.000 Cl
0.128 0.134 0.727 O
0.202 0.204 0.591 O
0.798 0.796 0.409 O
0.872 0.866 0.273 O
```

Output
SG = P-1 (2)
Total moment = 2.0 μB per formula unit
Formation energy from raw total energies = -1109 meV per atom

---

8.
First-principles (PBE-GGA) data for a relaxed K6Cl4O crystal, as listed in the Alexandria database.

```
K6Cl4O
1.0
6.168 3.561 5.086
-6.168 3.561 5.086
0.000 -7.123 5.086
K Cl O
12 8 2
Direct
0.056 0.929 0.719 K
0.071 0.281 0.944 K
0.219 0.429 0.556 K
0.281 0.944 0.071 K
0.429 0.556 0.219 K
0.444 0.781 0.571 K
0.556 0.219 0.429 K
0.571 0.444 0.781 K
0.719 0.056 0.929 K
0.781 0.571 0.444 K
0.929 0.719 0.056 K
0.944 0.071 0.281 K
0.118 0.750 0.382 Cl
0.250 0.250 0.250 Cl
0.250 0.618 0.882 Cl
0.382 0.118 0.750 Cl
0.618 0.882 0.250 Cl
0.750 0.382 0.118 Cl
0.750 0.750 0.750 Cl
0.882 0.250 0.618 Cl
0.000 0.000 0.000 O
0.500 0.500 0.500 O
```

Output
SG = R-3c (167)
Total moment = 0.1 μB per formula unit
Formation energy from raw total energies = -1699 meV per atom

---

9.
First-principles (PBE-GGA) data for a relaxed K12Cl3O5 crystal, as listed in the Alexandria database.

```
K12Cl3O5
1.0
-8.438 8.438 8.438
8.438 -8.438 8.438
8.438 8.438 -8.438
K Cl O
48 12 20
Direct
0.019 0.198 0.115 K
0.019 0.321 0.903 K
0.083 0.698 0.679 K
0.083 0.885 0.403 K
0.097 0.615 0.417 K
0.097 0.981 0.679 K
0.115 0.019 0.198 K
0.115 0.597 0.917 K
0.179 0.198 0.583 K
0.179 0.481 0.597 K
0.198 0.115 0.019 K
0.198 0.583 0.179 K
0.302 0.321 0.917 K
0.302 0.481 0.385 K
0.321 0.903 0.019 K
0.321 0.917 0.302 K
0.385 0.302 0.481 K
0.385 0.583 0.903 K
0.403 0.083 0.885 K
0.403 0.821 0.519 K
0.417 0.097 0.615 K
0.417 0.821 0.802 K
0.481 0.385 0.302 K
0.481 0.597 0.179 K
0.519 0.403 0.821 K
0.519 0.615 0.698 K
0.583 0.179 0.198 K
0.583 0.903 0.385 K
0.597 0.179 0.481 K
0.597 0.917 0.115 K
0.615 0.417 0.097 K
0.615 0.698 0.519 K
0.679 0.083 0.698 K
0.679 0.097 0.981 K
0.698 0.519 0.615 K
0.698 0.679 0.083 K
0.802 0.417 0.821 K
0.802 0.885 0.981 K
0.821 0.519 0.403 K
0.821 0.802 0.417 K
0.885 0.403 0.083 K
0.885 0.981 0.802 K
0.903 0.019 0.321 K
0.903 0.385 0.583 K
0.917 0.115 0.597 K
0.917 0.302 0.321 K
0.981 0.679 0.097 K
0.981 0.802 0.885 K
0.125 0.250 0.375 Cl
0.125 0.375 0.750 Cl
0.250 0.375 0.125 Cl
0.250 0.875 0.625 Cl
0.375 0.125 0.250 Cl
0.375 0.750 0.125 Cl
0.625 0.250 0.875 Cl
0.625 0.875 0.750 Cl
0.750 0.125 0.375 Cl
0.750 0.625 0.875 Cl
0.875 0.625 0.250 Cl
0.875 0.750 0.625 Cl
0.000 0.000 0.000 O
0.000 0.000 0.500 O
0.000 0.500 0.000 O
0.000 0.500 0.500 O
0.125 0.750 0.875 O
0.125 0.875 0.250 O
0.250 0.125 0.875 O
0.250 0.625 0.375 O
0.375 0.250 0.625 O
0.375 0.625 0.750 O
0.500 0.000 0.000 O
0.500 0.000 0.500 O
0.500 0.500 0.000 O
0.500 0.500 0.500 O
0.625 0.375 0.250 O
0.625 0.750 0.375 O
0.750 0.375 0.625 O
0.750 0.875 0.125 O
0.875 0.125 0.750 O
0.875 0.250 0.125 O
```

Output
SG = Ia-3d (230)
Total moment = 1.1 μB per formula unit
Formation energy from raw total energies = -1259 meV per atom

---

10.
First-principles (PBE-GGA) data for a relaxed K3ClO crystal, as listed in the Alexandria database.

```
K3ClO
1.0
5.289 0.000 0.000
0.000 5.141 5.141
0.000 -5.141 5.141
K Cl O
6 2 2
Direct
0.000 0.000 0.000 K
0.000 0.381 0.381 K
0.000 0.500 0.881 K
0.000 0.881 0.500 K
0.500 0.192 0.691 K
0.500 0.691 0.192 K
0.500 0.190 0.190 Cl
0.500 0.690 0.690 Cl
0.000 0.191 0.691 O
0.000 0.691 0.191 O
```

Output
SG = Amm2 (38)
Total moment = 0.0 μB per formula unit
Formation energy from raw total energies = -1394 meV per atom

---

11.
First-principles (PBE-GGA) data for a relaxed K5ClO crystal, as listed in the Alexandria database.

```
K5ClO
1.0
6.599 -4.497 0.000
6.599 4.497 0.000
-4.255 0.000 9.638
K Cl O
10 2 2
Direct
0.072 0.928 0.750 K
0.202 0.244 0.617 K
0.244 0.202 0.117 K
0.268 0.698 0.033 K
0.302 0.732 0.467 K
0.698 0.268 0.533 K
0.732 0.302 0.967 K
0.756 0.798 0.883 K
0.798 0.756 0.383 K
0.928 0.072 0.250 K
0.439 0.561 0.750 Cl
0.561 0.439 0.250 Cl
0.000 0.000 0.000 O
0.000 0.000 0.500 O
```

Output
SG = C2/c (15)
Total moment = 0.0 μB per formula unit
Formation energy from raw total energies = -959 meV per atom

---

12.
First-principles (PBE-GGA) data for a relaxed K4Cl3O crystal, as listed in the Alexandria database.

```
K4Cl3O
1.0
-3.885 3.885 4.478
3.885 -3.885 4.478
3.885 3.885 -4.478
K Cl O
4 3 1
Direct
0.175 0.175 0.535 K
0.360 0.825 0.000 K
0.640 0.640 0.465 K
0.825 0.360 0.000 K
0.000 0.000 0.000 Cl
0.250 0.750 0.500 Cl
0.750 0.250 0.500 Cl
0.500 0.500 0.000 O
```

Output
SG = I-42m (121)
Total moment = 1.0 μB per formula unit
Formation energy from raw total energies = -1546 meV per atom